{"formula": "TeAuO2", "functional": "PBE-GGA", "state": "optimized geometry", "lattice_angstrom": [[-3.393, -0.817, -2.748], [1.448, -4.164, -0.550], [-4.658, -4.450, 3.483]], "species": ["O", "Au", "O", "O", "Au", "O", "Te", "Te"], "fractional_positions": [[0.875, 0.837, 0.750], [0.750, 0.250, 0.500], [0.163, 0.625, 0.250], [0.587, 0.125, 0.250], [0.000, 0.000, 0.000], [0.375, 0.413, 0.750], [0.500, 0.500, 0.000], [0.250, 0.750, 0.500]], "rho_g_cm3": 9.1, "e_form_raw_ev_per_atom": -0.052, "spacegroup": "I-42d (122)", "dft_energy_ev_per_cell": -33.1}

---

{"formula": "TeAuO2", "functional": "PBE-GGA", "state": "optimized geometry", "lattice_angstrom": [[-4.473, 1.977, 4.169], [-3.704, -1.460, 5.044], [-1.511, 1.222, 6.125]], "species": ["Te", "Au", "O", "O"], "fractional_positions": [[0.500, 0.500, 0.500], [0.000, 0.000, 0.000], [0.887, 0.887, 0.887], [0.113, 0.113, 0.113]], "rho_g_cm3": 8.5, "e_form_raw_ev_per_atom": -0.222, "spacegroup": "R-3m (166)", "dft_energy_ev_per_cell": -17.2}

---

{"formula": "TeAuO3", "functional": "PBE-GGA", "state": "optimized geometry", "lattice_angstrom": [[4.098, 0.000, 0.000], [0.000, 4.098, 0.000], [0.000, 0.000, 4.098]], "species": ["O", "Au", "O", "Te", "O"], "fractional_positions": [[0.000, 0.000, 0.500], [0.000, 0.000, 0.000], [0.500, 0.000, 0.000], [0.500, 0.500, 0.500], [0.000, 0.500, 0.000]], "rho_g_cm3": 9.0, "e_form_raw_ev_per_atom": 0.401, "spacegroup": "Pm-3m (221)", "dft_energy_ev_per_cell": -19.3}

---

{"formula": "TlTeAuO2", "functional": "PBE-GGA", "state": "optimized geometry", "lattice_angstrom": [[-0.702, 3.999, -0.045], [-0.171, -0.102, -6.465], [-3.998, -0.700, 0.117]], "species": ["Te", "O", "O", "Au", "Tl"], "fractional_positions": [[0.000, 0.000, 0.000], [0.500, 0.000, 0.000], [0.000, 0.000, 0.500], [0.500, 0.500, 0.500], [0.000, 0.500, 0.000]], "rho_g_cm3": 8.7, "e_form_raw_ev_per_atom": -0.207, "spacegroup": "P4/mmm (123)", "dft_energy_ev_per_cell": -19.7}

---

Number 4 is which compound?
TlTeAuO2

---

Number 1 is which compound?
TeAuO2